[1]
# TbZrPt, optimized geometry, DFT PBE
data_TbZrPt
_chemical_formula_sum 'Tb6 Zr6 Pt6'
_cell_length_a 4.732
_cell_length_b 12.316
_cell_length_c 7.154
_cell_angle_alpha 90.00
_cell_angle_beta 90.00
_cell_angle_gamma 90.00
_space_group_name_H-M_alt 'A m m 2'
_space_group_IT_number 38
loop_
_space_group_symop_operation_xyz
'x,y,z'
'-x,-y,z'
'-x,y,z'
'x,-y,z'
'x,y+1/2,z+1/2'
'-x,-y+1/2,z+1/2'
'-x,y+1/2,z+1/2'
'x,-y+1/2,z+1/2'
loop_
_atom_site_label
_atom_site_type_symbol
_atom_site_fract_x
_atom_site_fract_y
_atom_site_fract_z
Tb1 Tb 0.000 0.000 0.000
Tb2 Tb 0.000 0.206 0.382
Zr1 Zr 0.500 0.000 0.333
Zr2 Zr 0.500 0.128 0.714
Pt1 Pt 0.000 0.000 0.589
Pt2 Pt 0.500 0.166 0.087
# * formation energy: -0.823 eV per atom
# * offset from the most stable computed form: 0.000 eV per atom

[2]
# MgZn3Pd2, optimized geometry, DFT PBE
data_MgZn3Pd2
_chemical_formula_sum 'Mg4 Zn12 Pd8'
_cell_length_a 5.364
_cell_length_b 8.403
_cell_length_c 8.250
_cell_angle_alpha 90.00
_cell_angle_beta 103.39
_cell_angle_gamma 90.00
_space_group_name_H-M_alt 'C 1 2/c 1'
_space_group_IT_number 15
loop_
_space_group_symop_operation_xyz
'x,y,z'
'-x,-y,-z'
'-x,y,-z+1/2'
'x,-y,z+1/2'
'x+1/2,y+1/2,z'
'-x+1/2,-y+1/2,-z'
'-x+1/2,y+1/2,-z+1/2'
'x+1/2,-y+1/2,z+1/2'
loop_
_atom_site_label
_atom_site_type_symbol
_atom_site_fract_x
_atom_site_fract_y
_atom_site_fract_z
Mg1 Mg 0.000 0.130 0.250
Zn1 Zn 0.000 0.383 0.750
Zn2 Zn 0.161 0.380 0.067
Pd1 Pd 0.169 0.128 0.606
# * formation energy: -0.455 eV per atom

[3]
# Hg2Sb2Pb3, optimized geometry, DFT PBE
data_Hg2Sb2Pb3
_chemical_formula_sum 'Hg4 Sb4 Pb6'
_cell_length_a 11.234
_cell_length_b 4.532
_cell_length_c 8.022
_cell_angle_alpha 90.00
_cell_angle_beta 96.17
_cell_angle_gamma 90.00
_space_group_name_H-M_alt 'C 1 2/m 1'
_space_group_IT_number 12
loop_
_space_group_symop_operation_xyz
'x,y,z'
'-x,-y,-z'
'-x,y,-z'
'x,-y,z'
'x+1/2,y+1/2,z'
'-x+1/2,-y+1/2,-z'
'-x+1/2,y+1/2,-z'
'x+1/2,-y+1/2,z'
loop_
_atom_site_label
_atom_site_type_symbol
_atom_site_fract_x
_atom_site_fract_y
_atom_site_fract_z
Hg1 Hg 0.078 0.000 0.218
Sb1 Sb 0.214 0.000 0.644
Pb1 Pb 0.000 0.500 0.500
Pb2 Pb 0.141 0.500 0.918
# * formation energy (no corrections): 1.44 kcal/mol of atoms

[4]
# CeDyGaSi, optimized geometry, DFT PBE
data_CeDyGaSi
_chemical_formula_sum 'Ce4 Dy4 Ga4 Si4'
_cell_length_a 7.153
_cell_length_b 7.153
_cell_length_c 7.153
_cell_angle_alpha 90.00
_cell_angle_beta 90.00
_cell_angle_gamma 90.00
_space_group_name_H-M_alt 'F -4 3 m'
_space_group_IT_number 216
_space_group_name_Hall 'F -4 2 3'
loop_
_atom_site_label
_atom_site_type_symbol
_atom_site_fract_x
_atom_site_fract_y
_atom_site_fract_z
Ce1 Ce 0.000 0.000 0.000
Dy1 Dy 0.000 0.000 0.500
Ga1 Ga 0.250 0.250 0.250
Si1 Si 0.250 0.250 0.750
# * formation energy (no corrections): -11.12 kcal/mol of atoms
# * offset from the most stable computed form: 0.157 eV per atom

[5]
# Sr2PuThAs4, optimized geometry, DFT PBE
data_Sr2PuThAs4
_chemical_formula_sum 'Sr2 Pu1 Th1 As4'
_cell_length_a 7.483
_cell_length_b 4.335
_cell_length_c 7.582
_cell_angle_alpha 90.00
_cell_angle_beta 109.33
_cell_angle_gamma 90.00
_space_group_name_H-M_alt 'P 1 2/m 1'
_space_group_IT_number 10
loop_
_space_group_symop_operation_xyz
'x,y,z'
'-x,-y,-z'
'-x,y,-z'
'x,-y,z'
loop_
_atom_site_label
_atom_site_type_symbol
_atom_site_fract_x
_atom_site_fract_y
_atom_site_fract_z
Sr1 Sr 0.000 0.000 0.000
Sr2 Sr 0.500 0.500 0.000
Pu1 Pu 0.000 0.500 0.500
Th1 Th 0.500 0.000 0.500
As1 As 0.233 0.000 0.718
As2 As 0.254 0.500 0.276
# * formation energy: -1.178 eV per atom

[6]
# TmAg8Au6, optimized geometry, DFT PBE
data_TmAg8Au6
_chemical_formula_sum 'Tm3 Ag24 Au18'
_cell_length_a 7.9035
_cell_length_b 7.9035
_cell_length_c 16.7724
_cell_angle_alpha 90.00
_cell_angle_beta 90.00
_cell_angle_gamma 120.00
_space_group_name_H-M_alt 'R -3'
_space_group_IT_number 148
_space_group_name_Hall '-R 3'
loop_
_atom_site_label
_atom_site_type_symbol
_atom_site_fract_x
_atom_site_fract_y
_atom_site_fract_z
Tm1 Tm 0.0000 0.0000 0.0000
Ag1 Ag 0.0000 0.0000 0.2513
Ag2 Ag 0.0066 0.6954 0.1295
Au1 Au 0.0048 0.7120 0.6270
# * formation energy: -0.075 eV per atom

[7]
# Sc2GeB2Rh5, optimized geometry, DFT PBE
data_Sc2GeB2Rh5
_chemical_formula_sum 'Sc4 Ge2 B4 Rh10'
_cell_length_a 9.219
_cell_length_b 9.219
_cell_length_c 3.163
_cell_angle_alpha 90.00
_cell_angle_beta 90.00
_cell_angle_gamma 90.00
_space_group_name_H-M_alt 'P 4/m b m'
_space_group_IT_number 127
_space_group_name_Hall '-P 4 2ab'
loop_
_atom_site_label
_atom_site_type_symbol
_atom_site_fract_x
_atom_site_fract_y
_atom_site_fract_z
Sc1 Sc 0.175 0.325 0.000
Ge1 Ge 0.000 0.000 0.000
B1 B 0.124 0.624 0.000
Rh1 Rh 0.000 0.500 0.500
Rh2 Rh 0.071 0.784 0.500
# * formation energy: -0.867 eV per atom

[8]
# BeVNi, optimized geometry, DFT PBE
data_BeVNi
_chemical_formula_sum 'Be2 V2 Ni2'
_cell_length_a 2.535
_cell_length_b 2.535
_cell_length_c 9.850
_cell_angle_alpha 90.00
_cell_angle_beta 90.00
_cell_angle_gamma 90.00
_space_group_name_H-M_alt 'I 4 m m'
_space_group_IT_number 107
_space_group_name_Hall 'I 4 -2'
loop_
_atom_site_label
_atom_site_type_symbol
_atom_site_fract_x
_atom_site_fract_y
_atom_site_fract_z
Be1 Be 0.000 0.000 0.000
V1 V 0.000 0.000 0.675
Ni1 Ni 0.000 0.000 0.366
# * formation energy: -0.229 eV per atom
# * offset from the most stable computed form: 0.000 eV per atom

[9]
# CaY2, optimized geometry, DFT PBE
data_CaY2
_chemical_formula_sum 'Ca2 Y4'
_cell_length_a 3.662
_cell_length_b 3.662
_cell_length_c 15.625
_cell_angle_alpha 90.00
_cell_angle_beta 90.00
_cell_angle_gamma 90.00
_space_group_name_H-M_alt 'I 4/m m m'
_space_group_IT_number 139
_space_group_name_Hall '-I 4 2'
loop_
_atom_site_label
_atom_site_type_symbol
_atom_site_fract_x
_atom_site_fract_y
_atom_site_fract_z
Ca1 Ca 0.000 0.000 0.000
Y1 Y 0.000 0.000 0.324
# * formation energy: 0.067 eV per atom
# * offset from the most stable computed form: 0.000 eV per atom

[10]
# CePm6Nd7, optimized geometry, DFT PBE
data_CePm6Nd7
_chemical_formula_sum 'Ce3 Pm18 Nd21'
_cell_length_a 9.6857
_cell_length_b 9.6857
_cell_length_c 17.9456
_cell_angle_alpha 90.00
_cell_angle_beta 90.00
_cell_angle_gamma 120.00
_space_group_name_H-M_alt 'R 3'
_space_group_IT_number 146
_space_group_name_Hall 'R 3'
loop_
_atom_site_label
_atom_site_type_symbol
_atom_site_fract_x
_atom_site_fract_y
_atom_site_fract_z
Ce1 Ce 0.0000 0.0000 0.0000
Pm1 Pm 0.0468 0.8106 0.1652
Pm2 Pm 0.0497 0.8088 0.6661
Nd1 Nd 0.0000 0.0000 0.5000
Nd2 Nd 0.1420 0.4252 0.9999
Nd3 Nd 0.1439 0.4300 0.5009
# * formation energy: 0.032 eV per atom

[11]
# LaCo, optimized geometry, DFT PBE
data_LaCo
_chemical_formula_sum 'La1 Co1'
_cell_length_a 3.9136
_cell_length_b 3.9136
_cell_length_c 3.5088
_cell_angle_alpha 90.00
_cell_angle_beta 90.00
_cell_angle_gamma 120.00
_space_group_name_H-M_alt 'P -6 m 2'
_space_group_IT_number 187
_space_group_name_Hall 'P -6 2'
loop_
_atom_site_label
_atom_site_type_symbol
_atom_site_fract_x
_atom_site_fract_y
_atom_site_fract_z
La1 La 0.0000 0.0000 0.0000
Co1 Co 0.6667 0.3333 0.5000
# * formation energy: 0.262 eV per atom

[12]
# TaPtN, optimized geometry, DFT PBE
data_TaPtN
_chemical_formula_sum 'Ta2 Pt2 N2'
_cell_length_a 2.902
_cell_length_b 2.902
_cell_length_c 9.110
_cell_angle_alpha 90.00
_cell_angle_beta 90.00
_cell_angle_gamma 90.00
_space_group_name_H-M_alt 'P 4/n m m'
_space_group_IT_number 129
loop_
_space_group_symop_operation_xyz
'x,y,z'
'-x,-y,-z'
'-y+1/2,x,z'
'y+1/2,-x,-z'
'-x+1/2,-y+1/2,z'
'x+1/2,y+1/2,-z'
'y,-x+1/2,z'
'-y,x+1/2,-z'
'x+1/2,-y,-z'
'-x+1/2,y,z'
'-y,-x,-z'
'y,x,z'
'-x,y+1/2,-z'
'x,-y+1/2,z'
'y+1/2,x+1/2,-z'
'-y+1/2,-x+1/2,z'
loop_
_atom_site_label
_atom_site_type_symbol
_atom_site_fract_x
_atom_site_fract_y
_atom_site_fract_z
Ta1 Ta 0.250 0.250 0.160
Pt1 Pt 0.250 0.250 0.614
N1 N 0.250 0.250 0.915
# * formation energy (no corrections): -17.55 kcal/mol of atoms

[13]
# PaBiPbO5, optimized geometry, DFT PBE
data_PaBiPbO5
_chemical_formula_sum 'Pa4 Bi4 Pb4 O20'
_cell_length_a 8.169
_cell_length_b 10.381
_cell_length_c 8.231
_cell_angle_alpha 90.00
_cell_angle_beta 115.02
_cell_angle_gamma 90.00
_space_group_name_H-M_alt 'C 1 2/c 1'
_space_group_IT_number 15
loop_
_space_group_symop_operation_xyz
'x,y,z'
'-x,-y,-z'
'-x,y,-z+1/2'
'x,-y,z+1/2'
'x+1/2,y+1/2,z'
'-x+1/2,-y+1/2,-z'
'-x+1/2,y+1/2,-z+1/2'
'x+1/2,-y+1/2,z+1/2'
loop_
_atom_site_label
_atom_site_type_symbol
_atom_site_fract_x
_atom_site_fract_y
_atom_site_fract_z
Pa1 Pa 0.250 0.250 0.000
Bi1 Bi 0.000 0.036 0.250
Pb1 Pb 0.000 0.470 0.250
O1 O 0.000 0.300 0.750
O2 O 0.067 0.174 0.097
O3 O 0.211 0.448 0.076
# * formation energy (no corrections): -49.90 kcal/mol of atoms

[14]
# Mg3SbN, optimized geometry, DFT PBE
data_Mg3SbN
_chemical_formula_sum 'Mg3 Sb1 N1'
_cell_length_a 3.934
_cell_length_b 3.934
_cell_length_c 7.390
_cell_angle_alpha 90.00
_cell_angle_beta 90.00
_cell_angle_gamma 90.00
_space_group_name_H-M_alt 'P 4 m m'
_space_group_IT_number 99
loop_
_space_group_symop_operation_xyz
'x,y,z'
'-y,x,z'
'-x,-y,z'
'y,-x,z'
'-x,y,z'
'y,x,z'
'x,-y,z'
'-y,-x,z'
loop_
_atom_site_label
_atom_site_type_symbol
_atom_site_fract_x
_atom_site_fract_y
_atom_site_fract_z
Mg1 Mg 0.000 0.000 0.000
Mg2 Mg 0.000 0.500 0.681
Sb1 Sb 0.000 0.000 0.377
N1 N 0.500 0.500 0.787
# * formation energy (no corrections): 2.96 kcal/mol of atoms

[15]
# CsLiTlCd2, optimized geometry, DFT PBE
data_CsLiTlCd2
_chemical_formula_sum 'Cs1 Li1 Tl1 Cd2'
_cell_length_a 5.837
_cell_length_b 5.837
_cell_length_c 5.657
_cell_angle_alpha 90.00
_cell_angle_beta 90.00
_cell_angle_gamma 90.00
_space_group_name_H-M_alt 'P 4/m m m'
_space_group_IT_number 123
_space_group_name_Hall '-P 4 2'
loop_
_atom_site_label
_atom_site_type_symbol
_atom_site_fract_x
_atom_site_fract_y
_atom_site_fract_z
Cs1 Cs 0.000 0.000 0.000
Li1 Li 0.500 0.500 0.000
Tl1 Tl 0.500 0.500 0.500
Cd1 Cd 0.000 0.500 0.500
# * formation energy: 0.023 eV per atom
# * offset from the most stable computed form: 0.007 eV per atom

[16]
# Sc2MnHPd, optimized geometry, DFT PBE
data_Sc2MnHPd
_chemical_formula_sum 'Sc2 Mn1 H1 Pd1'
_cell_length_a 4.539
_cell_length_b 4.539
_cell_length_c 3.442
_cell_angle_alpha 90.00
_cell_angle_beta 90.00
_cell_angle_gamma 90.00
_space_group_name_H-M_alt 'P 4/m m m'
_space_group_IT_number 123
_space_group_name_Hall '-P 4 2'
loop_
_atom_site_label
_atom_site_type_symbol
_atom_site_fract_x
_atom_site_fract_y
_atom_site_fract_z
Sc1 Sc 0.000 0.500 0.000
Mn1 Mn 0.000 0.000 0.500
H1 H 0.000 0.000 0.000
Pd1 Pd 0.500 0.500 0.500
# * E_tot: -32.59 eV per formula unit

[17]
# FeCo3Pd, optimized geometry, DFT PBE
data_FeCo3Pd
_chemical_formula_sum 'Fe1 Co3 Pd1'
_cell_length_a 4.227
_cell_length_b 4.227
_cell_length_c 4.227
_cell_angle_alpha 90.00
_cell_angle_beta 90.00
_cell_angle_gamma 90.00
_space_group_name_H-M_alt 'P m -3 m'
_space_group_IT_number 221
_space_group_name_Hall '-P 4 2 3'
loop_
_atom_site_label
_atom_site_type_symbol
_atom_site_fract_x
_atom_site_fract_y
_atom_site_fract_z
Fe1 Fe 0.000 0.000 0.000
Co1 Co 0.000 0.000 0.500
Pd1 Pd 0.500 0.500 0.500
# * formation energy: 1.063 eV per atom
# * offset from the most stable computed form: 0.000 eV per atom

[18]
# Tc2SnO8, optimized geometry, DFT PBE
data_Tc2SnO8
_chemical_formula_sum 'Tc6 Sn3 O24'
_cell_length_a 7.0561
_cell_length_b 7.0561
_cell_length_c 17.2197
_cell_angle_alpha 90.00
_cell_angle_beta 90.00
_cell_angle_gamma 120.00
_space_group_name_H-M_alt 'R -3 m'
_space_group_IT_number 166
_space_group_name_Hall '-R 3 2"'
loop_
_atom_site_label
_atom_site_type_symbol
_atom_site_fract_x
_atom_site_fract_y
_atom_site_fract_z
Tc1 Tc 0.0000 0.0000 0.2502
Sn1 Sn 0.0000 0.0000 0.0000
O1 O 0.0000 0.0000 0.1491
O2 O 0.0648 0.5324 0.3827
# * formation energy (no corrections): -31.06 kcal/mol of atoms
# * offset from the most stable computed form: 0.000 eV per atom

[19]
# TbDy2Er2Mg, optimized geometry, DFT PBE
data_TbDy2Er2Mg
_chemical_formula_sum 'Tb2 Dy4 Er4 Mg2'
_cell_length_a 10.218
_cell_length_b 11.682
_cell_length_c 3.596
_cell_angle_alpha 90.00
_cell_angle_beta 90.00
_cell_angle_gamma 90.00
_space_group_name_H-M_alt 'P n n m'
_space_group_IT_number 58
loop_
_space_group_symop_operation_xyz
'x,y,z'
'-x,-y,-z'
'-x,-y,z'
'x,y,-z'
'x+1/2,-y+1/2,-z+1/2'
'-x+1/2,y+1/2,z+1/2'
'-x+1/2,y+1/2,-z+1/2'
'x+1/2,-y+1/2,z+1/2'
loop_
_atom_site_label
_atom_site_type_symbol
_atom_site_fract_x
_atom_site_fract_y
_atom_site_fract_z
Tb1 Tb 0.000 0.000 0.000
Dy1 Dy 0.094 0.224 0.500
Er1 Er 0.249 0.428 0.000
Mg1 Mg 0.000 0.500 0.500
# * formation energy: 0.486 eV per atom

[20]
# BaNaCa2Ga, optimized geometry, DFT PBE
data_BaNaCa2Ga
_chemical_formula_sum 'Ba1 Na1 Ca2 Ga1'
_cell_length_a 5.947
_cell_length_b 5.947
_cell_length_c 5.930
_cell_angle_alpha 90.00
_cell_angle_beta 90.00
_cell_angle_gamma 90.00
_space_group_name_H-M_alt 'P 4/m m m'
_space_group_IT_number 123
_space_group_name_Hall '-P 4 2'
loop_
_atom_site_label
_atom_site_type_symbol
_atom_site_fract_x
_atom_site_fract_y
_atom_site_fract_z
Ba1 Ba 0.000 0.000 0.000
Na1 Na 0.500 0.500 0.000
Ca1 Ca 0.000 0.500 0.500
Ga1 Ga 0.500 0.500 0.500
# * formation energy: -0.029 eV per atom
# * offset from the most stable computed form: 0.035 eV per atom

[21]
# NaSn2Au4, optimized geometry, DFT PBE
data_NaSn2Au4
_chemical_formula_sum 'Na4 Sn8 Au16'
_cell_length_a 5.080
_cell_length_b 17.504
_cell_length_c 7.887
_cell_angle_alpha 90.00
_cell_angle_beta 117.38
_cell_angle_gamma 90.00
_space_group_name_H-M_alt 'P 1 21/c 1'
_space_group_IT_number 14
loop_
_space_group_symop_operation_xyz
'x,y,z'
'-x,-y,-z'
'-x,y+1/2,-z+1/2'
'x,-y+1/2,z+1/2'
loop_
_atom_site_label
_atom_site_type_symbol
_atom_site_fract_x
_atom_site_fract_y
_atom_site_fract_z
Na1 Na 0.216 0.132 0.456
Sn1 Sn 0.051 0.547 0.729
Sn2 Sn 0.145 0.716 0.495
Au1 Au 0.202 0.195 0.811
Au2 Au 0.350 0.528 0.127
Au3 Au 0.355 0.570 0.502
Au4 Au 0.480 0.683 0.275
# * formation energy: -0.224 eV per atom
# * offset from the most stable computed form: 0.000 eV per atom

Listing total magnetization for the structures above in their given order: 0.0; 0.0; 0.0; 3.6; 4.0; 0.0; 0.0; 0.0; 0.0; 3.4; 0.0; 0.0; 0.0; 0.0; 0.0; 1.6; 7.9; 0.0; 0.0; 0.0; 0.0 μB/cell.
Listing Fermi-level density of states for the structures above in their given order: 1.9; 1.8; 3.5; 6.5; 13.0; 3.8; 2.6; 2.8; 5.4; 24.5; 0.8; 1.5; 0.0; 2.6; 1.3; 3.8; 6.7; 0.0; 7.8; 5.0; 2.1 states/eV/f.u..